DFT (PBE) results for a relaxed structure of Pm8Co2Os.

Computed properties:
- volume (A^3/atom) = 28.04
- SG = Cm (8)
- formation energy (eV/atom) = 0.02

Cell and atoms, written as POSCAR:
```
Pm8Co2Os
1.0
-4.4080 -4.4851 -0.7842
2.8366 0.3894 -6.9611
4.5325 -3.3649 4.9789
Pm Co Os
8 2 1
Direct
0.9884 0.7925 0.2058
0.9884 0.2058 0.7925
0.1765 0.3563 0.3563
0.3745 0.9238 0.6587
0.3745 0.6587 0.9238
0.5827 0.0840 0.3519
0.5827 0.3519 0.0840
0.8001 0.6483 0.6483
0.4820 0.3168 0.6951
0.4820 0.6951 0.3168
0.1680 0.0006 0.0006
```

DFT (PBE) results for a relaxed structure of LiReRu2.

Computed properties:
- volume (A^3/atom) = 13.54
- SG = Imm2 (44)
- formation energy (eV/atom) = 0.20

Cell and atoms, written as POSCAR:
```
LiReRu2
1.0
-1.4435 1.5171 -4.5245
-0.0237 -3.3914 -3.6543
-1.8165 1.1554 4.4968
Ru Li Re
2 1 1
Direct
0.0036 0.0036 0.0000
0.7448 0.2448 0.5000
0.5017 0.5017 0.0000
0.2498 0.7498 0.5000
```

DFT (PBE) results for a relaxed structure of Pa4GaTe4.

Computed properties:
- volume (A^3/atom) = 33.20
- SG = I-42m (121)
- uncorrected formation energy (eV/atom) = 0.0560

Cell and atoms, written as POSCAR:
```
Pa4GaTe4
1.0
-4.4405 -1.2167 -3.1429
3.1583 -3.3167 -3.1782
-1.3880 -5.1718 8.9070
Ga Pa Te
1 4 4
Direct
0.0000 0.0000 0.0000
0.6202 0.6202 0.7477
0.8725 0.3798 0.2523
0.3798 0.8725 0.2523
0.1275 0.1275 0.7477
0.2474 0.2474 0.4949
0.7526 0.7526 0.5051
0.5000 0.0000 0.0000
0.0000 0.5000 0.0000
```

DFT (PBE) results for a relaxed structure of Sr2GaNi2.

Computed properties:
- volume (A^3/atom) = 27.66
- SG = R-3m (166)
- formation energy (eV/atom) = -0.29

Cell and atoms, written as POSCAR:
```
Sr2GaNi2
1.0
-2.6927 -2.3272 -2.2089
-0.7098 -3.9820 1.0889
-7.9218 0.5928 5.0607
Ga Ni Sr
1 2 2
Direct
0.0000 0.0000 0.0000
0.6815 0.6815 0.9554
0.3185 0.3185 0.0446
0.5751 0.5751 0.2746
0.4249 0.4249 0.7254
```

Number 1: D(E_F) 10.4 states/eV/cell, electronic total energy -63.3 eV for the cell shown. Number 2: D(E_F) 3.1 states/eV/cell, electronic total energy -32.1 eV for the cell shown. Number 3: D(E_F) 23.9 states/eV/cell, electronic total energy -53.1 eV for the cell shown. Number 4: D(E_F) 2.6 states/eV/cell, electronic total energy -19.4 eV for the cell shown.